Record 1
The following is a PBE calculation of crystalline KSrC2 at its relaxed geometry, from the Alexandria database.

Unit cell a=9.447 b=9.447 c=9.447 alpha=150.24 beta=150.24 gamma=42.59
Positions (direct):
K 0.375 0.625 0.750
K 0.625 0.375 0.250
Sr 0.125 0.875 0.250
Sr 0.875 0.125 0.750
C 0.000 0.000 0.000
C 0.000 0.000 0.500
C 0.000 0.500 0.000
C 0.500 0.000 0.500

Values from the calculation:
The value obtained for the formation enthalpy at 0 K is 8.29 eV per formula unit. As for the density of states at the Fermi level: 4.3 states/eV per cell. Its symmetry is I4_1/amd (141). The calculated total energy is -3.23 eV/atom.



Record 2
The following is a PBE calculation of crystalline KTaC2 at its relaxed geometry, from the Alexandria database.

Unit cell a=4.189 b=4.189 c=4.189 alpha=60.00 beta=60.00 gamma=60.00
Positions (direct):
K 0.000 0.000 0.000
Ta 0.500 0.500 0.500
C 0.250 0.250 0.250
C 0.750 0.750 0.750

Values from the calculation:
The value obtained for the formation enthalpy at 0 K is 8.67 eV per formula unit. As for the density of states at the Fermi level: 2.3 states/eV per cell. Its symmetry is Fm-3m (225). The calculated total energy is -5.68 eV/atom.



Record 3
The following is a PBE calculation of crystalline KTaC3 at its relaxed geometry, from the Alexandria database.

Unit cell a=3.979 b=3.979 c=3.979 alpha=90.00 beta=90.00 gamma=90.00
Positions (direct):
K 0.000 0.000 0.000
Ta 0.500 0.500 0.500
C 0.000 0.000 0.500
C 0.000 0.500 0.000
C 0.500 0.000 0.000

Values from the calculation:
The value obtained for the formation enthalpy at 0 K is 19.84 eV per formula unit. As for the density of states at the Fermi level: 2.8 states/eV per cell. Its symmetry is Pm-3m (221). The calculated total energy is -4.16 eV/atom.



Record 4
The following is a PBE calculation of crystalline KTaC2 at its relaxed geometry, from the Alexandria database.

Unit cell a=6.434 b=6.434 c=6.434 alpha=121.99 beta=121.99 gamma=86.59
Positions (direct):
K 0.000 0.000 0.000
K 0.750 0.250 0.500
Ta 0.250 0.750 0.500
Ta 0.500 0.500 0.000
C 0.289 0.625 0.164
C 0.375 0.539 0.664
C 0.461 0.125 0.836
C 0.875 0.711 0.336

Values from the calculation:
The value obtained for the formation enthalpy at 0 K is 3.05 eV per formula unit. As for the density of states at the Fermi level: 5.6 states/eV per cell. Its symmetry is I-42d (122). The calculated total energy is -7.09 eV/atom.



Record 5
The following is a PBE calculation of crystalline KTaC3 at its relaxed geometry, from the Alexandria database.

Unit cell a=4.295 b=4.295 c=4.295 alpha=90.00 beta=90.00 gamma=90.00
Positions (direct):
K 0.000 0.000 0.000
Ta 0.500 0.500 0.500
C 0.000 0.500 0.500
C 0.500 0.000 0.500
C 0.500 0.500 0.000

Values from the calculation:
The value obtained for the formation enthalpy at 0 K is 7.23 eV per formula unit. As for the density of states at the Fermi level: 2.2 states/eV per cell. Its symmetry is Pm-3m (221). The calculated total energy is -6.68 eV/atom.



Record 6
The following is a PBE calculation of crystalline KTcC2 at its relaxed geometry, from the Alexandria database.

Unit cell a=4.123 b=4.123 c=4.123 alpha=60.00 beta=60.00 gamma=60.00
Positions (direct):
K 0.000 0.000 0.000
Tc 0.500 0.500 0.500
C 0.250 0.250 0.250
C 0.750 0.750 0.750

Values from the calculation:
The value obtained for the formation enthalpy at 0 K is 10.14 eV per formula unit. As for the density of states at the Fermi level: 2.5 states/eV per cell. Its symmetry is Fm-3m (225). The calculated total energy is -4.94 eV/atom.



Record 7
The following is a PBE calculation of crystalline KTcC2 at its relaxed geometry, from the Alexandria database.

Unit cell a=6.180 b=6.180 c=6.180 alpha=120.14 beta=120.14 gamma=89.76
Positions (direct):
K 0.000 0.000 0.000
K 0.750 0.250 0.500
Tc 0.250 0.750 0.500
Tc 0.500 0.500 0.000
C 0.372 0.625 0.247
C 0.375 0.622 0.747
C 0.378 0.125 0.753
C 0.875 0.628 0.253

Values from the calculation:
The value obtained for the formation enthalpy at 0 K is 2.43 eV per formula unit. As for the density of states at the Fermi level: 1.9 states/eV per cell. Its symmetry is I-42d (122). The calculated total energy is -6.87 eV/atom.



Record 8
The following is a PBE calculation of crystalline KTcC3 at its relaxed geometry, from the Alexandria database.

Unit cell a=4.005 b=4.005 c=4.005 alpha=90.00 beta=90.00 gamma=90.00
Positions (direct):
K 0.000 0.000 0.000
Tc 0.500 0.500 0.500
C 0.000 0.000 0.500
C 0.000 0.500 0.000
C 0.500 0.000 0.000

Values from the calculation:
The value obtained for the formation enthalpy at 0 K is 22.74 eV per formula unit. As for the density of states at the Fermi level: 4.8 states/eV per cell. Its symmetry is Pm-3m (221). The calculated total energy is -3.28 eV/atom.



Calculated polymorph energy (0 for the lowest one) (meV/atom), listed in the same order as above: 174, 1404, 2522, 0, 0, 1929, 0, 3009